# 1
First-principles (PBE-GGA) data for a relaxed LuReAg2 crystal, as listed in OQMD.

Lattice parameters (Å, degrees): 4.727 4.727 4.727 60.00 60.00 60.00
Each line ends with the local moment (μB).
Sites, in units of the cell vectors:
Ag 0.750 0.750 0.750  0.08
Re 0.500 0.500 0.500  1.51
Ag 0.000 0.000 0.000  0.02
Lu 0.250 0.250 0.250  0.15

Results
Crystal system: cubic
E_form in eV per atom: 0.51

# 2
First-principles (PBE-GGA) data for a relaxed Sr2TmSb2 crystal, as listed in OQMD.

Lattice parameters (Å, degrees): 9.496 9.496 8.374 90.00 90.00 150.69
Each line ends with the local moment (μB).
Sites, in units of the cell vectors:
Sb 0.056 0.944 0.939  -0.01
Tm 0.902 0.098 0.085  0.13
Sr 0.698 0.302 0.892  0.02
Tm 0.098 0.902 0.585  0.14
Sr 0.302 0.698 0.392  0.02
Sb 0.683 0.317 0.481  0.00
Sb 0.317 0.683 0.981  -0.01
Sr 0.461 0.539 0.738  0.02
Sr 0.539 0.461 0.238  0.02
Sb 0.944 0.056 0.439  -0.01

Results
Crystal system: orthorhombic
Total DFT energy (no corrections) in eV/atom: -4.09

# 3
First-principles (PBE-GGA) data for a relaxed FeAgGeIr crystal, as listed in OQMD.

Lattice parameters (Å, degrees): 4.372 4.372 4.372 60.00 60.00 60.00
Sites, in units of the cell vectors:
Ir 0.250 0.250 0.250
Fe 0.750 0.750 0.750
Ag 0.500 0.500 0.500
Ge 0.000 0.000 0.000

Results
Crystal system: cubic
Total DFT energy (no corrections) in eV/atom: -5.90

# 4
First-principles (PBE-GGA) data for a relaxed SmAlTc crystal, as listed in OQMD.

Lattice parameters (Å, degrees): 4.556 4.556 4.556 60.00 60.00 60.00
Sites, in units of the cell vectors:
Tc 0.750 0.750 0.750
Al 0.000 0.000 0.000
Sm 0.250 0.250 0.250

Results
Crystal system: cubic
Total DFT energy (no corrections) in eV/atom: -5.94

# 5
First-principles (PBE-GGA) data for a relaxed ZrSc crystal, as listed in OQMD.

Lattice parameters (Å, degrees): 8.595 6.493 5.117 90.00 90.00 100.88
Sites, in units of the cell vectors:
Zr 0.558 0.389 0.500
Zr 0.000 0.001 0.000
Zr 0.222 0.054 0.500
Zr 0.667 0.166 0.000
Zr 0.664 0.666 0.000
Sc 0.335 0.838 0.000
Sc 0.994 0.498 0.000
Sc 0.228 0.557 0.500
Sc 0.887 0.217 0.500
Sc 0.335 0.329 0.000
Zr 0.555 0.889 0.500
Sc 0.887 0.726 0.500

Results
Crystal system: monoclinic
E_form in eV per atom: -0.02

# 6
First-principles (PBE-GGA) data for a relaxed Hf2ZnCo crystal, as listed in OQMD.

Lattice parameters (Å, degrees): 4.526 4.526 4.526 60.00 60.00 60.00
Each line ends with the local moment (μB).
Sites, in units of the cell vectors:
Co 0.250 0.250 0.250  0.41
Hf 0.500 0.500 0.500  0.16
Hf 0.750 0.750 0.750  0.38
Zn 0.000 0.000 0.000  0.01

Results
Crystal system: cubic
E_form in eV per atom: 0.14

# 7
First-principles (PBE-GGA) data for a relaxed SbIr17 crystal, as listed in OQMD.

Lattice parameters (Å, degrees): 5.446 5.446 32.815 90.00 90.00 120.00
Sites, in units of the cell vectors:
Ir 0.833 0.666 0.068
Ir 0.000 0.000 0.796
Ir 0.833 0.167 0.068
Ir 0.834 0.166 0.864
Ir 0.333 0.667 0.864
Ir 0.500 0.000 0.000
Ir 0.835 0.669 0.270
Ir 0.165 0.835 0.730
Ir 0.002 0.501 0.204
Ir 0.835 0.165 0.270
Ir 0.165 0.331 0.730
Ir 0.166 0.333 0.136
Ir 0.167 0.334 0.932
Ir 0.333 0.166 0.864
Ir 0.000 0.500 0.000
Ir 0.667 0.333 0.136
Ir 0.331 0.165 0.270
Ir 0.834 0.667 0.864
Sb 0.333 0.667 0.290
Ir 0.500 0.500 0.000
Ir 0.669 0.835 0.730
Ir 0.333 0.667 0.068
Ir 0.167 0.833 0.932
Ir 0.000 0.000 0.000
Ir 0.998 0.499 0.796
Ir 0.667 0.834 0.136
Ir 0.501 0.002 0.796
Ir 0.499 0.501 0.204
Ir 0.666 0.833 0.932
Ir 0.334 0.167 0.068
Ir 0.501 0.499 0.796
Ir 0.499 0.998 0.204
Ir 0.166 0.834 0.136
Sb 0.667 0.333 0.710
Ir 0.667 0.333 0.932
Ir 0.000 0.000 0.204

Results
Crystal system: trigonal
Total DFT energy (no corrections) in eV/atom: -8.45

# 8
First-principles (PBE-GGA) data for a relaxed Ac2Lu2In crystal, as listed in OQMD.

Lattice parameters (Å, degrees): 5.041 5.041 19.661 90.00 90.00 120.00
Each line ends with the local moment (μB).
Sites, in units of the cell vectors:
In 0.000 0.000 0.500  0.00
Lu 0.667 0.333 0.959  0.14
Lu 0.333 0.667 0.459  0.13
Ac 0.667 0.333 0.350  0.15
Ac 0.333 0.667 0.850  0.15
In 0.000 0.000 0.000  0.00
Ac 0.333 0.667 0.650  0.15
Ac 0.667 0.333 0.150  0.15
Lu 0.333 0.667 0.041  0.14
Lu 0.667 0.333 0.541  0.13

Results
Crystal system: hexagonal
Total DFT energy (no corrections) in eV/atom: -3.70

Total moment for the records above, in order: 0.454; 0.074; 0.636; 0.006; 0.005; 0.250; 0.000; 0.316 μB per atom
Calculated density for the records above, in order: 12.83; 5.28; 12.04; 6.84; 4.84; 12.19; 13.35; 7.05 Mg/m³